(1)
A plane-wave DFT calculation with PBE-GGA was carried out for a relaxed La3Pr2Mg crystal.

a b c (Å): 3.4436 6.7509 9.7970
angles (deg): 110.15 100.12 90.00
Last column: nearest neighbours and their distance in Å.
Positions (direct):
La 0.3597 0.4921 0.7195  1 Mg 3.23, 4 Pr 3.43-3.56, 4 La 3.44-3.53
Pr 0.6871 0.3121 0.3742  4 La 3.43-3.56, 2 Pr 3.44, 1 Mg 3.67
La 0.6403 0.7726 0.2805  1 Mg 3.23, 4 Pr 3.43-3.56, 4 La 3.44-3.53
Mg 0.5000 0.3351 0.0000  4 La 3.23-3.45, 2 Mg 3.44
Pr 0.3129 0.9380 0.6258  4 La 3.43-3.56, 2 Pr 3.44, 1 Mg 3.67
La 0.0000 0.8930 0.0000  6 La 3.44-3.53, 2 Mg 3.45

energy relative to the lowest polymorph listed for this composition: 19.3 kJ/mol of atoms
total magnetic moment: 0.0000 μB per atom
E_tot: -24.80 eV/cell

***

(2)
A plane-wave DFT calculation with PBE-GGA was carried out for a relaxed La8Pr2Mg crystal.

a b c (Å): 6.0509 9.3316 8.9400
angles (deg): 122.22 109.78 90.00
Last column: nearest neighbours and their distance in Å.
Positions (direct):
La 0.1314 0.1650 0.2628  4 La 3.54-3.71, 2 Mg 3.54, 3 Pr 3.64-3.75
La 0.4125 0.5689 0.8249  1 Mg 3.41, 3 La 3.46-3.69, 3 Pr 3.54-3.63
Pr 0.7860 0.3799 0.5720  9 La 3.50-3.75
La 0.0327 0.7126 0.0654  7 La 3.46-3.64, 2 Pr 3.50-3.61
Pr 0.2140 0.6201 0.4280  9 La 3.50-3.75
La 0.3262 0.0909 0.6525  1 Mg 3.47, 7 La 3.64-3.83, 1 Pr 3.67
La 0.8686 0.8350 0.7372  4 La 3.54-3.71, 2 Mg 3.54, 3 Pr 3.64-3.75
La 0.9673 0.2874 0.9346  7 La 3.46-3.64, 2 Pr 3.50-3.61
La 0.6738 0.9091 0.3475  1 Mg 3.47, 7 La 3.64-3.83, 1 Pr 3.67
La 0.5875 0.4311 0.1751  1 Mg 3.41, 3 La 3.46-3.69, 3 Pr 3.54-3.63
Mg 0.5000 0.0000 0.0000  8 La 3.41-3.54

energy relative to the lowest polymorph listed for this composition: 0.0 kJ/mol of atoms
total magnetic moment: 0.0000 μB per atom
E_tot: -49.97 eV/cell

***

(3)
A plane-wave DFT calculation with PBE-GGA was carried out for a relaxed La7Pr2Mg2 crystal.

a b c (Å): 8.0556 8.0556 6.2874
angles (deg): 75.32 75.32 94.53
Last column: nearest neighbours and their distance in Å.
Positions (direct):
La 0.0000 0.0000 0.0000  4 La 3.45, 2 Pr 3.54
Pr 0.2042 0.2042 0.4104  4 La 3.39-3.68, 2 Mg 3.45
Mg 0.7679 0.2321 0.5000  6 La 3.33-3.62, 2 Pr 3.45
La 0.5855 0.5855 0.2026  6 La 3.50-3.86, 2 Mg 3.62, 2 Pr 3.68-3.87
La 0.4145 0.4145 0.7974  6 La 3.50-3.86, 2 Mg 3.62, 2 Pr 3.68-3.87
Mg 0.2321 0.7679 0.5000  6 La 3.33-3.62, 2 Pr 3.45
Pr 0.7958 0.7958 0.5896  4 La 3.39-3.68, 2 Mg 3.45
La 0.4241 0.9300 0.8306  2 La 3.10-3.45, 2 Mg 3.33-3.37, 1 Pr 3.39
La 0.0700 0.5759 0.1694  2 La 3.10-3.45, 2 Mg 3.33-3.37, 1 Pr 3.39
La 0.5759 0.0700 0.1694  2 La 3.10-3.45, 2 Mg 3.33-3.37, 1 Pr 3.39
La 0.9300 0.4241 0.8306  2 La 3.10-3.45, 2 Mg 3.33-3.37, 1 Pr 3.39

total magnetic moment: 0.0000 μB per atom
E_tot: -46.49 eV/cell

***

(4)
A plane-wave DFT calculation with PBE-GGA was carried out for a relaxed La6Pr5Mg crystal.

a b c (Å): 6.3823 7.3769 9.7816
angles (deg): 67.86 89.77 89.96
Last column: nearest neighbours and their distance in Å.
Positions (direct):
Pr 0.6692 0.1674 0.6654  8 La 3.66-3.72, 3 Pr 3.67-3.69, 1 Mg 3.70
La 0.8336 0.0832 0.3295  4 La 3.65-3.76, 1 Mg 3.65, 7 Pr 3.66-3.72
La 0.8343 0.5878 0.3298  4 La 3.65-3.75, 1 Mg 3.65, 7 Pr 3.66-3.72
La 0.5002 0.7542 0.0003  4 La 3.62-3.75, 2 Mg 3.67, 6 Pr 3.69-3.71
Pr 0.3308 0.8326 0.3346  8 La 3.66-3.72, 3 Pr 3.67-3.69, 1 Mg 3.70
La 0.1657 0.4122 0.6702  4 La 3.65-3.75, 1 Mg 3.65, 7 Pr 3.66-3.72
Pr 0.3389 0.3327 0.3343  8 La 3.66-3.72, 4 Pr 3.67-3.73
Pr 0.6611 0.6673 0.6657  8 La 3.66-3.72, 4 Pr 3.67-3.73
Mg 0.0000 0.0000 0.0000  8 La 3.65-3.67, 4 Pr 3.69-3.70
Pr 0.0000 0.5000 0.0000  8 La 3.67-3.70, 2 Mg 3.69, 2 Pr 3.73
La 0.1664 0.9168 0.6705  4 La 3.65-3.76, 1 Mg 3.65, 7 Pr 3.66-3.72
La 0.4998 0.2458 0.9997  4 La 3.62-3.75, 2 Mg 3.67, 6 Pr 3.69-3.71

total magnetic moment: 0.0000 μB per atom
E_tot: -55.02 eV/cell

***

(5)
A plane-wave DFT calculation with PBE-GGA was carried out for a relaxed La3Pr3Mg2 crystal.

a b c (Å): 5.5355 6.6221 16.3277
angles (deg): 90.00 90.00 114.71
Last column: nearest neighbours and their distance in Å.
Positions (direct):
Mg 0.2311 0.4623 0.3537  3 La 3.24-3.32, 4 Pr 3.25-3.51, 1 Mg 3.39
Mg 0.2311 0.4623 0.1463  3 La 3.24-3.32, 4 Pr 3.25-3.51, 1 Mg 3.39
Pr 0.6447 0.2894 0.0302  3 Mg 3.25-3.51, 1 Pr 3.62
Pr 0.6447 0.2894 0.4698  3 Mg 3.25-3.51, 1 Pr 3.62
Pr 0.3553 0.7106 0.5302  3 Mg 3.25-3.51, 1 Pr 3.62
Mg 0.7689 0.5377 0.6463  3 La 3.24-3.32, 4 Pr 3.25-3.51, 1 Mg 3.39
La 0.0395 0.0790 0.8940  1 Mg 3.32, 2 La 3.59, 2 Pr 3.63
Pr 0.4716 0.9431 0.2500  1 La 3.17, 2 Mg 3.35
Pr 0.5284 0.0569 0.7500  1 La 3.17, 2 Mg 3.35
La 0.2648 0.5296 0.7500  1 Pr 3.17, 4 Mg 3.24
Mg 0.7689 0.5377 0.8537  3 La 3.24-3.32, 4 Pr 3.25-3.51, 1 Mg 3.39
La 0.7352 0.4704 0.2500  1 Pr 3.17, 4 Mg 3.24
La 0.9605 0.9210 0.3940  1 Mg 3.32, 2 La 3.59, 2 Pr 3.63
La 0.9605 0.9210 0.1060  1 Mg 3.32, 2 La 3.59, 2 Pr 3.63
Pr 0.3553 0.7106 0.9698  3 Mg 3.25-3.51, 1 Pr 3.62
La 0.0395 0.0790 0.6060  1 Mg 3.32, 2 La 3.59, 2 Pr 3.63

total magnetic moment: 0.0000 μB per atom
E_tot: -63.96 eV/cell

***

(6)
A plane-wave DFT calculation with PBE-GGA was carried out for a relaxed LaPr3Mg4 crystal.

a b c (Å): 3.9384 5.5423 11.0873
angles (deg): 90.00 90.00 90.00
Last column: nearest neighbours and their distance in Å.
Positions (direct):
Mg 0.0000 0.5000 0.7474  6 Pr 3.38-3.40, 2 La 3.42
Pr 0.5000 0.5000 0.5000  8 Mg 3.38-3.40
Mg 0.0000 0.0000 0.5000  8 Pr 3.40
Pr 0.5000 0.0000 0.2498  8 Mg 3.40
Mg 0.0000 0.5000 0.2526  6 Pr 3.38-3.40, 2 La 3.42
Pr 0.5000 0.0000 0.7502  8 Mg 3.40
Mg 0.0000 0.0000 0.0000  4 Pr 3.40, 4 La 3.40
La 0.5000 0.5000 0.0000  8 Mg 3.40-3.42

total magnetic moment: 0.0000 μB per atom
E_tot: -26.59 eV/cell

***

(7)
A plane-wave DFT calculation with PBE-GGA was carried out for a relaxed La2Pr7Mg2 crystal.

a b c (Å): 8.0547 6.3098 8.0547
angles (deg): 75.41 85.36 104.59
Last column: nearest neighbours and their distance in Å.
Positions (direct):
Pr 0.0644 0.8140 0.4191  2 Mg 3.25-3.35, 2 Pr 3.29-3.41, 1 La 3.40
Pr 0.4184 0.2000 0.5816  6 Pr 3.53-3.87, 2 Mg 3.58, 2 La 3.65-3.84
Mg 0.7628 0.5000 0.7628  6 Pr 3.25-3.58, 2 La 3.50
Mg 0.2372 0.5000 0.2372  6 Pr 3.25-3.58, 2 La 3.50
Pr 0.4191 0.1860 0.0644  2 Mg 3.25-3.35, 2 Pr 3.29-3.41, 1 La 3.40
Pr 0.9356 0.1860 0.5809  2 Mg 3.25-3.35, 2 Pr 3.29-3.41, 1 La 3.40
Pr 0.0000 0.0000 0.0000  4 Pr 3.41, 2 La 3.59
Pr 0.5809 0.8140 0.9356  2 Mg 3.25-3.35, 2 Pr 3.29-3.41, 1 La 3.40
Pr 0.5816 0.8000 0.4184  6 Pr 3.53-3.87, 2 Mg 3.58, 2 La 3.65-3.84
La 0.7960 0.4030 0.2040  6 Pr 3.40-3.80, 2 Mg 3.50
La 0.2040 0.5970 0.7960  6 Pr 3.40-3.80, 2 Mg 3.50

energy relative to the lowest polymorph listed for this composition: 4.1 kJ/mol of atoms
total magnetic moment: 0.0000 μB per atom
E_tot: -45.51 eV/cell

***

(8)
A plane-wave DFT calculation with PBE-GGA was carried out for a relaxed LaPr2Mg4 crystal.

a b c (Å): 5.4496 5.4496 8.6136
angles (deg): 71.56 71.56 60.00
Last column: nearest neighbours and their distance in Å.
Positions (direct):
Pr 0.7156 0.7156 0.8533  3 La 3.36, 5 Mg 3.37-3.55
Pr 0.2844 0.2844 0.1467  3 La 3.36, 5 Mg 3.37-3.55
Mg 0.5681 0.5681 0.2956  4 Mg 3.28-3.30, 4 Pr 3.37-3.55
La 0.0000 0.0000 0.0000  6 Pr 3.36, 2 Mg 3.36
Mg 0.8602 0.8602 0.4195  6 Mg 3.30-3.40, 1 La 3.36, 1 Pr 3.48
Mg 0.1398 0.1398 0.5805  6 Mg 3.30-3.40, 1 La 3.36, 1 Pr 3.48
Mg 0.4319 0.4319 0.7044  4 Mg 3.28-3.30, 4 Pr 3.37-3.55

total magnetic moment: 0.0000 μB per atom
E_tot: -20.32 eV/cell

***

(9)
A plane-wave DFT calculation with PBE-GGA was carried out for a relaxed La6Pr2Mg crystal.

a b c (Å): 5.2436 11.0264 11.0263
angles (deg): 90.00 90.00 90.00
Last column: nearest neighbours and their distance in Å.
Positions (direct):
Pr 0.0000 0.6716 0.1713  10 La 3.65-3.70, 2 Mg 3.74
Mg 0.0000 0.0000 0.5000  8 La 3.63-3.64, 4 Pr 3.74
La 0.0000 0.3386 0.1617  2 Mg 3.64, 4 Pr 3.67-3.70, 6 La 3.69-3.70
La 0.5000 0.8386 0.3383  2 Mg 3.64, 4 Pr 3.67-3.70, 6 La 3.69-3.70
Pr 0.5000 0.8284 0.6713  10 La 3.65-3.70, 2 Mg 3.74
La 0.0000 0.9969 0.8296  1 Mg 3.63, 3 Pr 3.65-3.66, 8 La 3.69-3.76
La 0.0000 0.0031 0.1704  1 Mg 3.63, 3 Pr 3.65-3.66, 8 La 3.69-3.76
La 0.9999 0.6703 0.5027  1 Mg 3.64, 3 Pr 3.65-3.66, 8 La 3.69-3.76
La 0.5000 0.5030 0.3296  1 Mg 3.63, 3 Pr 3.65-3.66, 8 La 3.69-3.76
Pr 0.5000 0.1716 0.3287  10 La 3.65-3.70, 2 Mg 3.74
La 0.0001 0.3297 0.4973  1 Mg 3.64, 3 Pr 3.65-3.66, 8 La 3.69-3.76
La 0.5000 0.4970 0.6704  1 Mg 3.63, 3 Pr 3.65-3.66, 8 La 3.69-3.76
Pr 0.0000 0.3284 0.8287  10 La 3.65-3.70, 2 Mg 3.74
Mg 0.5000 0.5000 0.0000  8 La 3.63-3.64, 4 Pr 3.74
La 0.5001 0.1703 0.9973  1 Mg 3.64, 3 Pr 3.65-3.66, 8 La 3.69-3.76
La 0.5000 0.1614 0.6617  2 Mg 3.64, 4 Pr 3.67-3.70, 6 La 3.69-3.70
La 0.0000 0.6614 0.8383  2 Mg 3.64, 4 Pr 3.67-3.70, 6 La 3.69-3.70
La 0.4999 0.8297 0.0027  1 Mg 3.64, 3 Pr 3.65-3.66, 8 La 3.69-3.76

energy relative to the lowest polymorph listed for this composition: 0.2 kJ/mol of atoms
total magnetic moment: 0.0000 μB per atom
E_tot: -81.32 eV/cell

***

(10)
A plane-wave DFT calculation with PBE-GGA was carried out for a relaxed La2Pr6Mg crystal.

a b c (Å): 3.6745 3.6745 27.4628
angles (deg): 90.00 90.00 120.00
Last column: nearest neighbours and their distance in Å.
Positions (direct):
Mg 0.3333 0.6667 0.0000  6 Pr 3.51, 6 Mg 3.67
Pr 0.6667 0.3333 0.8981  3 Mg 3.51, 9 Pr 3.67-3.69
La 0.6667 0.3333 0.3270  6 La 3.67, 6 Pr 3.68-3.81
Pr 0.3333 0.6667 0.7884  9 Pr 3.67-3.69, 3 La 3.81
Pr 0.3333 0.6667 0.4364  7 Pr 3.49-3.67, 3 La 3.68
Pr 0.3333 0.6667 0.5636  7 Pr 3.49-3.67, 3 La 3.68
Pr 0.6667 0.3333 0.1019  3 Mg 3.51, 9 Pr 3.67-3.69
Pr 0.3333 0.6667 0.2116  9 Pr 3.67-3.69, 3 La 3.81
La 0.6667 0.3333 0.6730  6 La 3.67, 6 Pr 3.68-3.81

energy relative to the lowest polymorph listed for this composition: 0.0 kJ/mol of atoms
total magnetic moment: 0.0000 μB per atom
E_tot: -39.56 eV/cell